1.
DFT (PBE) results for crystalline SrGaF5 at its relaxed geometry.

Cell lengths 14.6644, 14.6644, 7.4512 Å; angles 90.00, 90.00, 90.00 degrees
Last column: nearest neighbours and their distance in Å.
Space group I4 (No. 79)
Inequivalent atoms, fractional coordinates:
Sr (0.0490, 0.2259, 0.0000)  6 F 2.39-2.66
Sr (0.0688, 0.7528, 0.4997)  7 F 2.54-2.81
Ga (0.0000, 0.0000, 0.2492)  6 F 1.85-1.91
Ga (0.0000, 0.0000, 0.7448)  6 F 1.85-1.91
Ga (0.0000, 0.5000, 0.0015)  6 F 1.86-1.91
Ga (0.1684, 0.3154, 0.5004)  6 F 1.91-1.99
F (0.0000, 0.0000, 0.4970)  2 Ga 1.85
F (0.0000, 0.0000, 0.9968)  2 Ga 1.88
F (0.0000, 0.5000, 0.2515)  2 Ga 1.86
F (0.0347, 0.8749, 0.7538)  1 Ga 1.91
F (0.0359, 0.8752, 0.2399)  1 Ga 1.91
F (0.0488, 0.3792, 0.5013)  2 Ga 1.91-1.99
F (0.0663, 0.3879, 0.0013)  1 Ga 1.91
F (0.0985, 0.7104, 0.1750)  1 Ga 1.92
F (0.0986, 0.7106, 0.8258)  1 Ga 1.92
F (0.1067, 0.2410, 0.3257)  1 Ga 1.92
F (0.1078, 0.2411, 0.6763)  1 Ga 1.92
F (0.2251, 0.2592, 0.0002)  1 Ga 1.91

Computed properties:
DOS(E_F)	0.00	states/eV/f.u.
ΔE_f (raw)	-3.196	eV/atom
energy above the lowest structure with this stoichiometry	20.4	meV per atom

***

2.
DFT (PBE) results for crystalline SrGa3F at its relaxed geometry.

Cell lengths 6.1694, 6.1694, 6.1694 Å; angles 90.00, 90.00, 90.00 degrees
Last column: nearest neighbours and their distance in Å.
Space group Pm-3m (No. 221)
Inequivalent atoms, fractional coordinates:
Sr (0.0000, 0.0000, 0.0000)  6 Ga 3.08
Ga (0.0000, 0.0000, 0.5000)  2 Sr 3.08
F (0.5000, 0.5000, 0.5000)  12 Ga 4.36

Computed properties:
DOS(E_F)	7.41	states/eV/f.u.
ΔE_f (raw)	0.566	eV/atom
energy above the lowest structure with this stoichiometry	1184.9	meV per atom

***

3.
DFT (PBE) results for crystalline SrGa2F8 at its relaxed geometry.

Cell lengths 9.9791, 6.1073, 5.4058 Å; angles 90.00, 97.47, 90.00 degrees
Last column: nearest neighbours and their distance in Å.
Space group C2/m (No. 12)
Inequivalent atoms, fractional coordinates:
Sr (0.0000, 0.0000, 0.0000)  6 F 2.34-2.55
Ga (0.2174, 0.5000, 0.4830)  4 F 1.80-2.01
F (0.1074, 0.5000, 0.7214)  1 Ga 1.80
F (0.1437, 0.2131, 0.3437)  2 Ga 2.01-2.04
F (0.1907, 0.0000, 0.7896)  1 Ga 1.83

Computed properties:
DOS(E_F)	0.00	states/eV/f.u.
ΔE_f (raw)	-2.904	eV/atom

***

Repeat the first record exactly.
DFT (PBE) results for crystalline SrGaF5 at its relaxed geometry.

Cell lengths 14.6644, 14.6644, 7.4512 Å; angles 90.00, 90.00, 90.00 degrees
Last column: nearest neighbours and their distance in Å.
Space group I4 (No. 79)
Inequivalent atoms, fractional coordinates:
Sr (0.0490, 0.2259, 0.0000)  6 F 2.39-2.66
Sr (0.0688, 0.7528, 0.4997)  7 F 2.54-2.81
Ga (0.0000, 0.0000, 0.2492)  6 F 1.85-1.91
Ga (0.0000, 0.0000, 0.7448)  6 F 1.85-1.91
Ga (0.0000, 0.5000, 0.0015)  6 F 1.86-1.91
Ga (0.1684, 0.3154, 0.5004)  6 F 1.91-1.99
F (0.0000, 0.0000, 0.4970)  2 Ga 1.85
F (0.0000, 0.0000, 0.9968)  2 Ga 1.88
F (0.0000, 0.5000, 0.2515)  2 Ga 1.86
F (0.0347, 0.8749, 0.7538)  1 Ga 1.91
F (0.0359, 0.8752, 0.2399)  1 Ga 1.91
F (0.0488, 0.3792, 0.5013)  2 Ga 1.91-1.99
F (0.0663, 0.3879, 0.0013)  1 Ga 1.91
F (0.0985, 0.7104, 0.1750)  1 Ga 1.92
F (0.0986, 0.7106, 0.8258)  1 Ga 1.92
F (0.1067, 0.2410, 0.3257)  1 Ga 1.92
F (0.1078, 0.2411, 0.6763)  1 Ga 1.92
F (0.2251, 0.2592, 0.0002)  1 Ga 1.91

Computed properties:
DOS(E_F)	0.00	states/eV/f.u.
ΔE_f (raw)	-3.196	eV/atom
energy above the lowest structure with this stoichiometry	20.4	meV per atom

***

Question: Which formula does entry 2 have?
Answer: SrGa3F

***

Question: What is the formula in the third record?
Answer: SrGa2F8